1.
Here is a relaxed structure of Er3P4Pd4 from Alexandria via LeMat-Bulk. Energies are from PBE-GGA.

As for the formation enthalpy at 0 K: -1090 meV per atom. As for the space group: Immm. Its total moment is 0.00 μB per formula unit. Its volume is 17.17 Å³/atom.

abc: 7.8428 7.8428 7.8428
angles: 150.25 127.27 61.72
Closest atoms and distances in Å follow each position.
Positions (direct):
Er (0.0000, 0.0000, 0.0000)  6 P 2.92-2.95
Er (0.3738, 0.8738, 0.5000)  6 P 2.92-2.95, 6 Pd 2.96-3.08
Er (0.6262, 0.1262, 0.5000)  6 P 2.92-2.95, 6 Pd 2.96-3.08
P (0.2171, 0.2171, 0.0000)  6 Pd 2.53-2.59
P (0.3104, 0.5000, 0.8104)  2 Pd 2.41, 1 P 2.64
P (0.6896, 0.5000, 0.1896)  2 Pd 2.41, 1 P 2.64
P (0.7829, 0.7829, 0.0000)  6 Pd 2.53-2.59
Pd (0.0299, 0.3303, 0.6996)  4 P 2.41-2.59
Pd (0.3693, 0.6697, 0.6996)  4 P 2.41-2.59
Pd (0.6307, 0.3303, 0.3004)  4 P 2.41-2.59
Pd (0.9701, 0.6697, 0.3004)  4 P 2.41-2.59

---

2.
Here is a relaxed structure of DyZn3Pt3 from Alexandria via LeMat-Bulk. Energies are from PBE-GGA.

As for the formation enthalpy at 0 K: -47 meV per atom. As for the space group: Pm-3n. Its total moment is 0.00 μB per formula unit. Its volume is 22.43 Å³/atom.

abc: 6.7969 6.7969 6.7969
angles: 90.00 90.00 90.00
Closest atoms and distances in Å follow each position.
Positions (direct):
Dy (0.0000, 0.0000, 0.0000)  12 Pt 3.80, 12 Zn 3.80
Dy (0.5000, 0.5000, 0.5000)  12 Pt 3.80, 12 Zn 3.80
Zn (0.0000, 0.2500, 0.5000)  4 Pt 2.40
Zn (0.0000, 0.7500, 0.5000)  4 Pt 2.40
Zn (0.2500, 0.5000, 0.0000)  4 Pt 2.40
Zn (0.5000, 0.0000, 0.2500)  4 Pt 2.40
Zn (0.5000, 0.0000, 0.7500)  4 Pt 2.40
Zn (0.7500, 0.5000, 0.0000)  4 Pt 2.40
Pt (0.0000, 0.5000, 0.2500)  4 Zn 2.40
Pt (0.0000, 0.5000, 0.7500)  4 Zn 2.40
Pt (0.2500, 0.0000, 0.5000)  4 Zn 2.40
Pt (0.5000, 0.2500, 0.0000)  4 Zn 2.40
Pt (0.5000, 0.7500, 0.0000)  4 Zn 2.40
Pt (0.7500, 0.0000, 0.5000)  4 Zn 2.40

---

3.
Here is a relaxed structure of La2PmSm3Te6 from Alexandria via LeMat-Bulk. Energies are from PBE-GGA.

As for the space group: C2/m. The value obtained for the raw formation energy is -17.52 eV/f.u. Its total moment is 0.00 μB per formula unit. Its volume is 32.09 Å³/atom.

abc: 10.0393 10.0393 9.0188
angles: 102.96 102.96 25.80
Closest atoms and distances in Å follow each position.
Positions (direct):
La (0.1656, 0.1656, 0.3317)  6 Te 3.21-3.23
La (0.8344, 0.8344, 0.6683)  6 Te 3.21-3.23
Pm (0.5000, 0.5000, 0.0000)  6 Te 3.17-3.19
Sm (0.1679, 0.1679, 0.8342)  6 Te 3.14-3.16
Sm (0.5000, 0.5000, 0.5000)  6 Te 3.14-3.17
Sm (0.8321, 0.8321, 0.1658)  6 Te 3.14-3.16
Te (0.0031, 0.0031, 0.7502)  3 Sm 3.14-3.17, 2 Pm 3.19, 1 La 3.21
Te (0.3337, 0.3337, 0.9233)  3 Sm 3.14-3.16, 1 Pm 3.17, 2 La 3.21
Te (0.3350, 0.3350, 0.4117)  3 Sm 3.14, 3 La 3.22-3.23
Te (0.6650, 0.6650, 0.5883)  3 Sm 3.14, 3 La 3.22-3.23
Te (0.6663, 0.6663, 0.0767)  3 Sm 3.14-3.16, 1 Pm 3.17, 2 La 3.21
Te (0.9969, 0.9969, 0.2498)  3 Sm 3.14-3.17, 2 Pm 3.19, 1 La 3.21

---

4.
Here is a relaxed structure of BaNdCdIn from Alexandria via LeMat-Bulk. Energies are from PBE-GGA.

As for the formation enthalpy at 0 K: -290 meV per atom. As for the space group: F-43m. Its total moment is 0.00 μB per formula unit. Its volume is 33.61 Å³/atom.

abc: 5.7501 5.7501 5.7501
angles: 60.00 60.00 60.00
Closest atoms and distances in Å follow each position.
Positions (direct):
Ba (0.0000, 0.0000, 0.0000)  4 Cd 3.52, 4 In 3.52
Nd (0.5000, 0.5000, 0.5000)  4 Cd 3.52, 4 In 3.52
Cd (0.2500, 0.2500, 0.2500)  4 Nd 3.52, 4 Ba 3.52
In (0.7500, 0.7500, 0.7500)  4 Nd 3.52, 4 Ba 3.52

---

5.
Here is a relaxed structure of MnBeAs2 from Alexandria via LeMat-Bulk. Energies are from PBE-GGA.

The calculation puts the energy above the most stable polymorph in this dataset at 330.5 meV per atom. As for the formation enthalpy at 0 K: 297 meV per atom. As for the space group: Cmmm. Its total moment is 3.05 μB per formula unit. Its volume is 14.85 Å³/atom.

abc: 2.9668 2.9668 7.1109
angles: 90.00 90.00 108.35
Closest atoms and distances in Å follow each position.
Positions (direct):
Mn (0.0000, 0.0000, 0.0000)  4 As 2.55
Be (0.0000, 0.0000, 0.5000)  4 As 2.43
As (0.5000, 0.5000, 0.2617)  2 Be 2.43, 2 Mn 2.55
As (0.5000, 0.5000, 0.7383)  2 Be 2.43, 2 Mn 2.55

---

6.
Here is a relaxed structure of Cd2GaRe from Alexandria via LeMat-Bulk. Energies are from PBE-GGA.

As for the formation enthalpy at 0 K: 565 meV per atom. As for the space group: R-3m. Its total moment is 0.00 μB per formula unit. Its volume is 19.70 Å³/atom.

abc: 11.6789 11.6789 11.6789
angles: 13.79 13.79 13.79
Closest atoms and distances in Å follow each position.
Positions (direct):
Cd (0.0833, 0.0833, 0.0833)  6 Cd 2.80, 1 Re 2.89
Cd (0.9167, 0.9167, 0.9167)  6 Cd 2.80, 1 Re 2.89
Ga (0.5000, 0.5000, 0.5000)  6 Ga 2.80
Re (0.0000, 0.0000, 0.0000)  6 Re 2.80, 2 Cd 2.89

---

7.
Here is a relaxed structure of AgMo2Ru from Alexandria via LeMat-Bulk. Energies are from PBE-GGA.

The calculation puts the energy above the most stable polymorph in this dataset at 45.3 meV per atom. As for the formation enthalpy at 0 K: 325 meV per atom. As for the space group: P4mm. Its total moment is 0.00 μB per formula unit. Its volume is 15.95 Å³/atom.

abc: 2.7619 2.7619 8.3643
angles: 90.00 90.00 90.00
Closest atoms and distances in Å follow each position.
Positions (direct):
Ag (0.0000, 0.0000, 0.0000)  4 Ag 2.76, 4 Ru 2.95, 4 Mo 2.96
Mo (0.0000, 0.0000, 0.5238)  4 Ru 2.64, 8 Mo 2.76-2.91
Mo (0.5000, 0.5000, 0.2662)  8 Mo 2.76-2.91, 4 Ag 2.96
Ru (0.5000, 0.5000, 0.7363)  4 Mo 2.64, 4 Ru 2.76, 4 Ag 2.95

---

8.
Here is a relaxed structure of SrInSn3 from Alexandria via LeMat-Bulk. Energies are from PBE-GGA.

The calculation puts the energy above the most stable polymorph in this dataset at 36.6 meV per atom. As for the formation enthalpy at 0 K: -218 meV per atom. As for the space group: P2_1/m. Its total moment is 0.00 μB per formula unit. Its volume is 34.14 Å³/atom.

abc: 4.7413 9.5355 7.7865
angles: 90.00 104.13 90.00
Closest atoms and distances in Å follow each position.
Positions (direct):
Sr (0.0055, 0.2500, 0.0102)  8 Sn 3.45-3.85, 1 In 3.70
Sr (0.9945, 0.7500, 0.9898)  8 Sn 3.45-3.85, 1 In 3.70
In (0.2708, 0.2500, 0.6009)  4 Sn 2.87-2.89
In (0.7292, 0.7500, 0.3991)  4 Sn 2.87-2.89
Sn (0.3177, 0.7500, 0.6159)  2 In 2.87-2.89, 2 Sn 2.89
Sn (0.4914, 0.0059, 0.8118)  2 Sn 2.89-2.91, 1 In 2.89
Sn (0.4914, 0.4941, 0.8118)  2 Sn 2.89-2.91, 1 In 2.89
Sn (0.5086, 0.5059, 0.1882)  2 Sn 2.89-2.91, 1 In 2.89
Sn (0.5086, 0.9941, 0.1882)  2 Sn 2.89-2.91, 1 In 2.89
Sn (0.6823, 0.2500, 0.3841)  2 In 2.87-2.89, 2 Sn 2.89

---

9.
Here is a relaxed structure of TbPmSm2Bi5 from Alexandria via LeMat-Bulk. Energies are from PBE-GGA.

As for the formation enthalpy at 0 K: -80 meV per atom. As for the space group: P4/mmm. Its total moment is 0.00 μB per formula unit. Its volume is 39.52 Å³/atom.

abc: 5.4317 5.4317 12.0549
angles: 90.00 90.00 90.00
Closest atoms and distances in Å follow each position.
Positions (direct):
Tb (0.0000, 0.0000, 0.0000)  6 Bi 2.72-3.04
Pm (0.0000, 0.0000, 0.5000)  2 Bi 2.99
Sm (0.5000, 0.5000, 0.2298)  1 Bi 3.26
Sm (0.5000, 0.5000, 0.7702)  1 Bi 3.26
Bi (0.0000, 0.0000, 0.2518)  1 Pm 2.99, 1 Tb 3.04
Bi (0.0000, 0.0000, 0.7482)  1 Pm 2.99, 1 Tb 3.04
Bi (0.0000, 0.5000, 0.0000)  2 Tb 2.72
Bi (0.5000, 0.0000, 0.0000)  2 Tb 2.72
Bi (0.5000, 0.5000, 0.5000)  2 Sm 3.26

---

10.
Here is a relaxed structure of MnSb2Se from Alexandria via LeMat-Bulk. Energies are from PBE-GGA.

As for the space group: P4/mmm. The value obtained for the raw formation energy is 1.22 eV/f.u. Its total moment is 3.89 μB per formula unit. Its volume is 22.34 Å³/atom.

abc: 5.1841 5.1841 3.3251
angles: 90.00 90.00 90.00
Closest atoms and distances in Å follow each position.
Positions (direct):
Mn (0.0000, 0.0000, 0.0000)  8 Sb 3.08, 2 Mn 3.33
Sb (0.0000, 0.5000, 0.5000)  4 Mn 3.08, 4 Se 3.08, 2 Sb 3.33
Sb (0.5000, 0.0000, 0.5000)  4 Mn 3.08, 4 Se 3.08, 2 Sb 3.33
Se (0.5000, 0.5000, 0.0000)  8 Sb 3.08, 2 Se 3.33

---

11.
Here is a relaxed structure of B5C7 from Alexandria via LeMat-Bulk. Energies are from PBE-GGA.

The calculation puts the energy above the most stable polymorph in this dataset at 119.7 meV per atom. As for the formation enthalpy at 0 K: 378 meV per atom. As for the space group: Cm. Its total moment is 0.00 μB per formula unit. Its volume is 6.46 Å³/atom.

abc: 6.7816 6.7816 4.6456
angles: 105.00 105.00 22.11
Closest atoms and distances in Å follow each position.
Positions (direct):
B (0.0000, 0.0000, 0.0000)  2 C 1.56-1.57
B (0.3517, 0.3517, 0.6918)  3 C 1.59-1.73
B (0.3847, 0.3847, 0.3446)  2 C 1.62, 2 B 1.72-1.78
B (0.5043, 0.5043, 0.6040)  2 C 1.56, 1 B 1.72
B (0.5507, 0.5507, 0.2739)  1 C 1.64, 3 B 1.80-1.82
C (0.0599, 0.0599, 0.7499)  1 C 1.51, 3 B 1.56-1.57
C (0.1773, 0.1773, 0.8584)  4 C 1.51-1.65
C (0.2174, 0.2174, 0.5518)  3 C 1.57-1.65, 1 B 1.73
C (0.6786, 0.6786, 0.3662)  3 C 1.57-1.63, 1 B 1.64
C (0.7156, 0.7156, 0.0589)  4 C 1.52-1.63
C (0.8341, 0.8341, 0.1519)  2 C 1.47-1.52, 2 B 1.62
C (0.8785, 0.8785, 0.8939)  1 C 1.47, 3 B 1.56-1.59

---

12.
Here is a relaxed structure of Ba2NaU3Se8 from Alexandria via LeMat-Bulk. Energies are from PBE-GGA.

As for the space group: R3m. The value obtained for the raw formation energy is -19.10 eV/f.u. Its total moment is 7.00 μB per formula unit. Its volume is 35.58 Å³/atom.

abc: 9.1606 9.1606 9.1606
angles: 56.38 56.38 56.38
Closest atoms and distances in Å follow each position.
Positions (direct):
Ba (0.0000, 0.0000, 0.0000)  4 Se 3.10-3.20
Ba (0.3714, 0.3714, 0.3714)  6 Se 3.25
Na (0.7513, 0.7513, 0.7513)  3 Se 2.90
U (0.3725, 0.3725, 0.8635)  6 Se 2.86-2.94
U (0.3725, 0.8635, 0.3725)  6 Se 2.86-2.94
U (0.8635, 0.3725, 0.3725)  6 Se 2.86-2.94
Se (0.1193, 0.1193, 0.5719)  2 U 2.87, 1 Ba 3.10
Se (0.1193, 0.5719, 0.1193)  2 U 2.87, 1 Ba 3.10
Se (0.1388, 0.1388, 0.1388)  3 U 2.94, 1 Ba 3.20
Se (0.1563, 0.6255, 0.6255)  2 U 2.86, 1 Na 2.90
Se (0.5719, 0.1193, 0.1193)  2 U 2.87, 1 Ba 3.10
Se (0.6053, 0.6053, 0.6053)  3 U 2.92-2.93
Se (0.6255, 0.1563, 0.6255)  2 U 2.86, 1 Na 2.90
Se (0.6255, 0.6255, 0.1563)  2 U 2.86, 1 Na 2.90

---

13.
Here is a relaxed structure of Pm3Sm7Y2 from Alexandria via LeMat-Bulk. Energies are from PBE-GGA.

The calculation puts the energy above the most stable polymorph in this dataset at 12.1 meV per atom. As for the formation enthalpy at 0 K: 87 meV per atom. As for the space group: P2/m. Its total moment is 0.00 μB per formula unit. Its volume is 34.05 Å³/atom.

abc: 5.9276 3.6092 19.1279
angles: 90.00 93.15 90.00
Closest atoms and distances in Å follow each position.
Positions (direct):
Pm (0.0000, 0.0000, 0.0000)  8 Sm 3.42-3.47, 2 Pm 3.61
Pm (0.2796, 0.5000, 0.6327)  2 Pm 3.61, 8 Sm 3.69-4.01, 4 Y 3.72-3.75
Pm (0.7204, 0.5000, 0.3673)  2 Pm 3.61, 8 Sm 3.69-4.01, 4 Y 3.72-3.75
Sm (0.1865, 0.5000, 0.1440)  2 Y 3.40, 7 Sm 3.41-3.61, 2 Pm 3.42
Sm (0.2432, 0.0000, 0.4643)  1 Y 3.23, 4 Sm 3.26-3.61
Sm (0.3115, 0.0000, 0.8203)  6 Sm 3.52-3.61, 2 Y 3.68-3.70
Sm (0.5000, 0.5000, 0.0000)  4 Sm 3.41-3.61, 4 Pm 3.47
Sm (0.6885, 0.0000, 0.1797)  6 Sm 3.52-3.61, 2 Y 3.68-3.70
Sm (0.7568, 0.0000, 0.5357)  1 Y 3.23, 4 Sm 3.26-3.61
Sm (0.8135, 0.5000, 0.8560)  2 Y 3.40, 7 Sm 3.41-3.61, 2 Pm 3.42
Y (0.2105, 0.0000, 0.2949)  3 Sm 3.23-3.40, 2 Y 3.61
Y (0.7895, 0.0000, 0.7051)  3 Sm 3.23-3.40, 2 Y 3.61